(1)
The following is a PBE-GGA calculation of crystalline Ca3SF3 at its relaxed geometry, from Alexandria via LeMat-Bulk.

a b c (Å): 6.792 6.792 7.629
angles (deg): 63.57 63.57 60.00
Element x y z (fractional)
1 F 0.543 0.206 0.378
2 F 0.127 0.457 0.622
3 F 0.206 0.873 0.378
4 F 0.873 0.543 0.378
5 F 0.457 0.794 0.622
6 F 0.794 0.127 0.622
7 Ca 0.244 0.586 0.255
8 Ca 0.414 0.085 0.745
9 Ca 0.085 0.756 0.745
10 Ca 0.915 0.244 0.255
11 Ca 0.586 0.915 0.255
12 Ca 0.756 0.414 0.745
13 S 0.333 0.333 0.000
14 S 0.667 0.667 0.000

The calculation puts the final energy at -37.37 eV/f.u. The value obtained for the formation energy from raw total energies is -3.089 eV per atom.

***

(2)
The following is a PBE-GGA calculation of crystalline CaSF2 at its relaxed geometry, from Alexandria via LeMat-Bulk.

a b c (Å): 4.412 4.412 4.412
angles (deg): 60.00 60.00 60.00
Each line ends with the local moment (μB).
Element x y z (fractional)
1 F 0.750 0.750 0.750  0.21
2 F 0.250 0.250 0.250  0.21
3 S 0.000 0.000 0.000  0.98
4 Ca 0.500 0.500 0.500  0.02

The calculation puts the final energy at -17.07 eV/f.u. The value obtained for the formation energy from raw total energies is -1.799 eV per atom. The calculation puts the density of states at the Fermi level at 0.79 states/eV/cell.

***

(3)
The following is a PBE-GGA calculation of crystalline Ca2SF at its relaxed geometry, from Alexandria via LeMat-Bulk.

a b c (Å): 5.888 5.888 7.234
angles (deg): 65.98 65.98 90.00
Each line ends with the local moment (μB).
Element x y z (fractional)
1 F 0.250 0.750 0.500  0.01
2 F 0.500 0.500 0.000  0.01
3 S 0.000 0.000 0.000  0.00
4 S 0.750 0.250 0.500  0.00
5 Ca 0.375 0.412 0.750  0.09
6 Ca 0.588 0.125 0.250  0.08
7 Ca 0.162 0.625 0.250  0.08
8 Ca 0.875 0.838 0.750  0.10

The calculation puts the final energy at -18.65 eV/f.u. The value obtained for the formation energy from raw total energies is -2.163 eV per atom. The calculation puts the density of states at the Fermi level at 4.09 states/eV/cell.

***

Which of these has the lowest final energy? Ca3SF3